Record 1
This record from Alexandria describes crystalline LiLa2InOs at its relaxed geometry. The functional is PBE-GGA.

Unit cell a=5.5301 b=5.5301 c=5.3199 alpha=90.00 beta=90.00 gamma=90.00
Fractional positions:
In  0.0000  0.0000  0.5000
Os  0.0000  0.0000  0.0000
Li  0.5000  0.5000  0.5000
La  0.0000  0.5000  0.0000
La  0.5000  0.0000  0.0000

Output
- Space group: No. 123
- Formation energy from the elements: -0.083 eV per atom


Record 2
This record from Alexandria describes crystalline BaSc2Rh at its relaxed geometry. The functional is PBE-GGA.

Unit cell a=3.6207 b=3.8954 c=8.5002 alpha=76.68 beta=90.00 gamma=90.00
Fractional positions:
Ba  0.0000  0.6720  0.5281
Rh  0.5000  0.5025  0.8721
Sc  0.0000  0.9746  0.9271
Sc  0.5000  0.3509  0.1728

Output
- Space group: No. 6
- Formation energy from the elements: -0.224 eV per atom


Record 3
This record from Alexandria describes crystalline Ba3NaAl8 at its relaxed geometry. The functional is PBE-GGA.

Unit cell a=5.9585 b=5.9585 c=10.3280 alpha=73.23 beta=73.23 gamma=60.00
Fractional positions:
Ba  0.3759  0.3759  0.8723
Ba  0.9978  0.9978  0.0066
Ba  0.5015  0.5015  0.4955
Na  0.8736  0.8736  0.3790
Al  0.9374  0.4356  0.1914
Al  0.4378  0.9397  0.6827
Al  0.4356  0.4356  0.1914
Al  0.9397  0.9397  0.6827
Al  0.1857  0.1857  0.4428
Al  0.6896  0.6896  0.9312
Al  0.4356  0.9374  0.1914
Al  0.9397  0.4378  0.6827

Output
- Space group: No. 160
- Formation energy from the elements: -0.129 eV per atom


Record 4
This record from Alexandria describes crystalline Pr3YTm3S8 at its relaxed geometry. The functional is PBE-GGA.

Unit cell a=7.8593 b=7.8593 c=8.0087 alpha=119.39 beta=90.00 gamma=120.00
Fractional positions:
Pr  0.0000  0.0000  0.0000
Pr  0.0000  0.5000  0.0000
Pr  0.5000  0.5000  0.0000
Y  0.0000  0.0000  0.5000
Tm  0.5000  0.0000  0.5000
Tm  0.5000  0.5000  0.5000
Tm  0.0000  0.5000  0.5000
S  0.2579  0.5158  0.2737
S  0.7421  0.4842  0.7263
S  0.7524  0.5048  0.2681
S  0.2476  0.4952  0.7319
S  0.7524  0.0158  0.2681
S  0.2476  0.9842  0.7319
S  0.2634  0.0158  0.2681
S  0.7366  0.9842  0.7319

Output
- Space group: No. 166
- ΔE_f (raw): -2.04 eV per atom


Record 5
This record from Alexandria describes crystalline Er3Re2N6 at its relaxed geometry. The functional is PBE-GGA.

Unit cell a=3.8921 b=3.8921 c=9.6788 alpha=101.60 beta=101.60 gamma=90.00
Fractional positions:
Er  0.0000  0.0000  0.0000
Er  0.8156  0.8156  0.6312
Er  0.1844  0.1844  0.3688
Re  0.4109  0.4109  0.8218
Re  0.5891  0.5891  0.1782
N  0.0849  0.5849  0.1698
N  0.5849  0.0849  0.1698
N  0.9151  0.4151  0.8302
N  0.4151  0.9151  0.8302
N  0.6995  0.6995  0.3989
N  0.3005  0.3005  0.6011

Output
- Space group: No. 139
- ΔE_f (raw): -0.88 eV per atom


Record 6
This record from Alexandria describes crystalline Pr2Zn3PdAu12 at its relaxed geometry. The functional is PBE-GGA.

Unit cell a=13.4709 b=13.4709 c=13.4709 alpha=24.70 beta=24.70 gamma=24.70
Fractional positions:
Pr  0.6452  0.6452  0.6452
Pr  0.3548  0.3548  0.3548
Zn  0.5000  0.0000  0.0000
Zn  0.0000  0.5000  0.0000
Zn  0.0000  0.0000  0.5000
Pd  0.0000  0.0000  0.0000
Au  0.3897  0.3897  0.8742
Au  0.8871  0.8871  0.3911
Au  0.3911  0.8871  0.8871
Au  0.8742  0.3897  0.3897
Au  0.8871  0.3911  0.8871
Au  0.3897  0.8742  0.3897
Au  0.6103  0.6103  0.1258
Au  0.1129  0.1129  0.6089
Au  0.6089  0.1129  0.1129
Au  0.1258  0.6103  0.6103
Au  0.1129  0.6089  0.1129
Au  0.6103  0.1258  0.6103

Output
- Space group: No. 166
- Formation energy from the elements: -0.245 eV per atom


Record 7
This record from Alexandria describes crystalline InTcTe2 at its relaxed geometry. The functional is PBE-GGA.

Unit cell a=9.8081 b=9.8081 c=9.8081 alpha=20.49 beta=20.49 gamma=20.49
Site moments in Bohr magnetons follow the coordinates.
Fractional positions:
In  0.2500  0.2500  0.2500  -0.01
Tc  0.7500  0.7500  0.7500  0.27
Te  0.0196  0.0196  0.0196  -0.01
Te  0.4804  0.4804  0.4804  -0.01

Output
- Space group: No. 166
- ΔE_f (raw): 0.06 eV per atom


Record 8
This record from Alexandria describes crystalline Ac2PmSb at its relaxed geometry. The functional is PBE-GGA.

Unit cell a=4.3491 b=4.3491 c=7.8164 alpha=90.00 beta=90.00 gamma=90.00
Fractional positions:
Sb  0.5000  0.5000  0.5000
Ac  0.0000  0.0000  0.7221
Ac  0.0000  0.0000  0.2779
Pm  0.5000  0.5000  0.0000

Output
- Space group: No. 123
- ΔE_f (raw): -0.43 eV per atom
- Energy above the lowest structure with this stoichiometry: 0.73 kcal/mol of atoms


Record 9
This record from Alexandria describes crystalline DyMgZnSn at its relaxed geometry. The functional is PBE-GGA.

Unit cell a=4.2993 b=4.5094 c=4.6086 alpha=90.00 beta=90.00 gamma=90.00
Fractional positions:
Dy  0.5000  0.5000  0.0000
Mg  0.5000  0.0000  0.5000
Zn  0.0000  0.5000  0.5000
Sn  0.0000  0.0000  0.0000

Output
- Space group: No. 47
- Formation energy from the elements: -0.418 eV per atom
- Energy above the lowest structure with this stoichiometry: 0.00 kcal/mol of atoms


Record 10
This record from Alexandria describes crystalline Nd3Pa at its relaxed geometry. The functional is PBE-GGA.

Unit cell a=6.2477 b=6.2477 c=6.2477 alpha=132.91 beta=132.91 gamma=68.80
Site moments in Bohr magnetons follow the coordinates.
Fractional positions:
Nd  0.7500  0.2500  0.5000  0.02
Nd  0.2500  0.7500  0.5000  0.02
Nd  0.5000  0.5000  0.0000  0.03
Pa  0.0000  0.0000  0.0000  0.68

Output
- Space group: No. 139
- Formation energy from the elements: 0.290 eV per atom
- Energy above the lowest structure with this stoichiometry: 0.93 kcal/mol of atoms


Record 11
This record from Alexandria describes crystalline CsPrAgBr6 at its relaxed geometry. The functional is PBE-GGA.

Unit cell a=7.2933 b=7.2603 c=8.1633 alpha=86.95 beta=92.62 gamma=65.34
Site moments in Bohr magnetons follow the coordinates.
Fractional positions:
Cs  0.0187  0.0219  0.0000  0.00
Pr  0.6844  0.6819  0.5015  0.00
Ag  0.3363  0.3304  0.4966  0.27
Br  0.0027  0.3708  0.3240  0.10
Br  0.3654  0.0012  0.6732  0.11
Br  0.6005  0.3740  0.7049  0.13
Br  0.9909  0.6206  0.7523  0.02
Br  0.3783  0.6029  0.2938  0.14
Br  0.6226  0.9964  0.2536  0.02

Output
- Space group: No. 1
- ΔE_f (raw): -1.30 eV per atom


Record 12
This record from Alexandria describes crystalline YIn2Cu2 at its relaxed geometry. The functional is PBE-GGA.

Unit cell a=4.4502 b=4.4502 c=6.1868 alpha=68.92 beta=68.92 gamma=90.00
Fractional positions:
Y  0.0000  0.0000  0.0000
Cu  0.7500  0.2500  0.5000
Cu  0.2500  0.7500  0.5000
In  0.3709  0.3709  0.2583
In  0.6291  0.6291  0.7417

Output
- Space group: No. 139
- Formation energy from the elements: -0.157 eV per atom


Record 13
This record from Alexandria describes crystalline CsTlIn2Pd at its relaxed geometry. The functional is PBE-GGA.

Unit cell a=5.3770 b=5.3770 c=5.6428 alpha=90.00 beta=90.00 gamma=90.00
Fractional positions:
Cs  0.5000  0.5000  0.5000
Tl  0.0000  0.0000  0.5000
Pd  0.0000  0.0000  0.0000
In  0.0000  0.5000  0.0000
In  0.5000  0.0000  0.0000

Output
- Space group: No. 123
- Formation energy from the elements: -0.117 eV per atom


Record 14
This record from Alexandria describes crystalline SmMg4Pd2 at its relaxed geometry. The functional is PBE-GGA.

Unit cell a=4.2384 b=4.2642 c=8.5849 alpha=104.38 beta=90.00 gamma=90.00
Fractional positions:
Sm  0.0000  0.0000  0.0000
Mg  0.5000  0.8231  0.6462
Mg  0.0000  0.6771  0.3541
Mg  0.5000  0.1769  0.3538
Mg  0.0000  0.3229  0.6459
Pd  0.5000  0.5799  0.1599
Pd  0.5000  0.4201  0.8401

Output
- Space group: No. 65
- Formation energy from the elements: -0.443 eV per atom
- Energy above the lowest structure with this stoichiometry: 1.42 kcal/mol of atoms


Record 15
This record from Alexandria describes crystalline CaTcBi3 at its relaxed geometry. The functional is PBE-GGA.

Unit cell a=5.7431 b=5.7431 c=5.7431 alpha=90.00 beta=90.00 gamma=90.00
Site moments in Bohr magnetons follow the coordinates.
Fractional positions:
Ca  0.0000  0.0000  0.0000  0.02
Bi  0.0000  0.5000  0.0000  -0.06
Bi  0.0000  0.0000  0.5000  -0.07
Bi  0.5000  0.0000  0.0000  -0.04
Tc  0.5000  0.5000  0.5000  3.74

Output
- Space group: No. 221
- Formation energy from the elements: 1.313 eV per atom
- Energy above the lowest structure with this stoichiometry: 24.43 kcal/mol of atoms


Record 16
This record from Alexandria describes crystalline Dy2GaCoC at its relaxed geometry. The functional is PBE-GGA.

Unit cell a=3.9126 b=6.1940 c=8.2986 alpha=109.80 beta=90.00 gamma=90.00
Fractional positions:
Dy  0.7500  0.7744  0.6196
Dy  0.7500  0.7806  0.0319
Dy  0.2500  0.2256  0.3804
Dy  0.2500  0.2194  0.9681
Ga  0.2500  0.7069  0.3019
Ga  0.7500  0.2931  0.6981
Co  0.2500  0.5049  0.7420
Co  0.7500  0.4951  0.2580
C  0.2500  0.8082  0.8301
C  0.7500  0.1918  0.1699

Output
- Space group: No. 11
- Formation energy from the elements: -0.371 eV per atom


Record 17
This record from Alexandria describes crystalline Zn2Cu6Au at its relaxed geometry. The functional is PBE-GGA.

Unit cell a=3.7177 b=4.6030 c=8.0339 alpha=107.79 beta=90.00 gamma=113.82
Fractional positions:
Zn  0.6760  0.3521  0.7356
Zn  0.3240  0.6479  0.2644
Cu  0.3372  0.6744  0.9486
Cu  0.6628  0.3256  0.0514
Cu  0.9975  0.9950  0.1575
Cu  0.6636  0.3272  0.3765
Cu  0.0025  0.0050  0.8425
Cu  0.3364  0.6728  0.6235
Au  0.0000  0.0000  0.5000

Output
- Space group: No. 12
- Formation energy from the elements: -0.068 eV per atom
- Energy above the lowest structure with this stoichiometry: 0.00 kcal/mol of atoms


Record 18
This record from Alexandria describes crystalline BeCu2Os at its relaxed geometry. The functional is PBE-GGA.

Unit cell a=2.6674 b=2.6674 c=6.4313 alpha=90.00 beta=90.00 gamma=90.00
Fractional positions:
Be  0.5000  0.5000  0.7500
Os  0.5000  0.5000  0.2500
Cu  0.0000  0.0000  0.9567
Cu  0.0000  0.0000  0.5433

Output
- Space group: No. 123
- Formation energy from the elements: 0.180 eV per atom


Record 19
This record from Alexandria describes crystalline Zr7C at its relaxed geometry. The functional is PBE-GGA.

Unit cell a=6.1614 b=6.1614 c=6.1614 alpha=60.00 beta=60.00 gamma=60.00
Fractional positions:
Zr  0.5000  0.5000  0.0000
Zr  0.5000  0.0000  0.5000
Zr  0.5000  0.0000  0.0000
Zr  0.0000  0.0000  0.5000
Zr  0.0000  0.5000  0.0000
Zr  0.0000  0.5000  0.5000
Zr  0.5000  0.5000  0.5000
C  0.0000  0.0000  0.0000

Output
- Space group: No. 225
- Formation energy from the elements: 0.520 eV per atom


Record 20
This record from Alexandria describes crystalline SmYZr at its relaxed geometry. The functional is PBE-GGA.

Unit cell a=3.4217 b=3.4217 c=7.8524 alpha=102.58 beta=102.58 gamma=90.00
Fractional positions:
Y  0.6785  0.6785  0.3571
Zr  0.3321  0.3321  0.6642
Sm  0.9894  0.9894  0.9787

Output
- Space group: No. 107
- Formation energy from the elements: 0.099 eV per atom
- Energy above the lowest structure with this stoichiometry: 0.00 kcal/mol of atoms


no.,energy (eV per atom)
1,-5.231
2,-5.709
3,-3.215
4,-6.519
5,-8.929
6,-3.462
7,-4.787
8,-4.702
9,-3.286
10,-5.660
11,-3.357
12,-4.184
13,-2.894
14,-3.512
15,-3.489
16,-6.083
17,-3.446
18,-5.607
19,-8.113
20,-6.479